[1]
PBE HfSnSb2, relaxed; total DFT energy (no corrections) = -5.405 eV per atom; symmetry = I-42d, No. 122; E_form (uncorrected) = 0.145 eV per atom; calculated density = 5.9 g cm⁻³
1.0
6.729 0.000 0.000
0.000 6.729 0.000
0.000 0.000 13.385
Hf Sn Sb
4 4 8
Direct
0.000 0.000 0.000 Hf
0.000 0.500 0.250 Hf
0.500 0.000 0.750 Hf
0.500 0.500 0.500 Hf
0.000 0.000 0.500 Sn
0.000 0.500 0.750 Sn
0.500 0.000 0.250 Sn
0.500 0.500 0.000 Sn
0.222 0.250 0.125 Sb
0.250 0.722 0.375 Sb
0.250 0.778 0.875 Sb
0.278 0.250 0.625 Sb
0.722 0.750 0.625 Sb
0.750 0.222 0.875 Sb
0.750 0.278 0.375 Sb
0.778 0.750 0.125 Sb



[2]
PBE Hf4SnSb, relaxed; total DFT energy (no corrections) = -8.004 eV per atom; symmetry = P-1, No. 2; E_form (uncorrected) = -0.014 eV per atom; ΔE to the lowest computed polymorph = 0.0000 eV per atom; calculated density = 10.7 g cm⁻³
1.0
5.553 0.000 0.000
0.768 7.184 0.000
1.787 2.205 7.403
Hf Sn Sb
8 2 2
Direct
0.057 0.430 0.314 Hf
0.212 0.171 0.709 Hf
0.317 0.002 0.162 Hf
0.399 0.403 0.894 Hf
0.601 0.597 0.106 Hf
0.683 0.998 0.838 Hf
0.788 0.829 0.291 Hf
0.943 0.570 0.686 Hf
0.139 0.758 0.955 Sn
0.861 0.242 0.045 Sn
0.000 0.000 0.500 Sb
0.500 0.500 0.500 Sb



[3]
PBE HfSnSb2, relaxed; total DFT energy (no corrections) = -5.689 eV per atom; symmetry = P4/mmm, No. 123; E_form (uncorrected) = -0.139 eV per atom; calculated density = 9.0 g cm⁻³
1.0
3.747 0.000 0.000
0.000 3.747 0.000
0.000 0.000 7.127
Hf Sn Sb
1 1 2
Direct
0.000 0.000 0.000 Hf
0.000 0.000 0.500 Sn
0.500 0.500 0.214 Sb
0.500 0.500 0.786 Sb



[4]
PBE Hf2SnSb, relaxed; total DFT energy (no corrections) = -7.165 eV per atom; symmetry = Fm-3m, No. 225; E_form (uncorrected) = -0.157 eV per atom; ΔE to the lowest computed polymorph = 0.0795 eV per atom; calculated density = 11.1 g cm⁻³
1.0
7.089 0.000 0.000
0.000 7.089 0.000
0.000 0.000 7.089
Hf Sn Sb
8 4 4
Direct
0.250 0.250 0.250 Hf
0.250 0.250 0.750 Hf
0.250 0.750 0.250 Hf
0.250 0.750 0.750 Hf
0.750 0.250 0.250 Hf
0.750 0.250 0.750 Hf
0.750 0.750 0.250 Hf
0.750 0.750 0.750 Hf
0.000 0.000 0.000 Sn
0.000 0.500 0.500 Sn
0.500 0.000 0.500 Sn
0.500 0.500 0.000 Sn
0.000 0.000 0.500 Sb
0.000 0.500 0.000 Sb
0.500 0.000 0.000 Sb
0.500 0.500 0.500 Sb



[5]
PBE Hf7Sn2Sb2, relaxed; total DFT energy (no corrections) = -7.993 eV per atom; symmetry = C2/m, No. 12; E_form (uncorrected) = -0.182 eV per atom; calculated density = 11.3 g cm⁻³
1.0
3.019 -4.838 0.000
3.019 4.838 0.000
-0.787 0.000 8.668
Hf Sn Sb
7 2 2
Direct
0.000 0.000 0.000 Hf
0.150 0.597 0.154 Hf
0.181 0.181 0.368 Hf
0.403 0.850 0.846 Hf
0.597 0.150 0.154 Hf
0.819 0.819 0.632 Hf
0.850 0.403 0.846 Hf
0.263 0.737 0.500 Sn
0.737 0.263 0.500 Sn
0.298 0.298 0.741 Sb
0.702 0.702 0.259 Sb



[6]
PBE Hf8Sn2Sb3, relaxed; total DFT energy (no corrections) = -7.735 eV per atom; symmetry = C2/m, No. 12; E_form (uncorrected) = -0.042 eV per atom; calculated density = 10.7 g cm⁻³
1.0
6.794 -4.191 0.000
6.794 4.191 0.000
-2.544 0.000 5.555
Hf Sn Sb
8 2 3
Direct
0.071 0.702 0.286 Hf
0.093 0.093 0.264 Hf
0.298 0.929 0.714 Hf
0.323 0.323 0.684 Hf
0.677 0.677 0.316 Hf
0.702 0.071 0.286 Hf
0.907 0.907 0.736 Hf
0.929 0.298 0.714 Hf
0.271 0.271 0.123 Sn
0.729 0.729 0.877 Sn
0.291 0.709 0.000 Sb
0.500 0.500 0.500 Sb
0.709 0.291 0.000 Sb



[7]
PBE HfSnSb, relaxed; total DFT energy (no corrections) = -6.182 eV per atom; symmetry = Pbcm, No. 57; E_form (uncorrected) = -0.156 eV per atom; calculated density = 9.5 g cm⁻³
1.0
5.574 0.000 0.000
0.000 8.959 0.000
0.000 0.000 5.887
Hf Sn Sb
4 4 4
Direct
0.202 0.032 0.250 Hf
0.202 0.468 0.750 Hf
0.798 0.532 0.250 Hf
0.798 0.968 0.750 Hf
0.164 0.750 0.000 Sn
0.164 0.750 0.500 Sn
0.836 0.250 0.000 Sn
0.836 0.250 0.500 Sn
0.318 0.130 0.750 Sb
0.318 0.370 0.250 Sb
0.682 0.630 0.750 Sb
0.682 0.870 0.250 Sb



[8]
PBE HfSnSb2, relaxed; total DFT energy (no corrections) = -5.676 eV per atom; symmetry = R3m, No. 160; E_form (uncorrected) = -0.126 eV per atom; calculated density = 8.1 g cm⁻³
1.0
4.019 0.000 0.000
-2.009 3.481 0.000
0.000 0.000 23.912
Hf Sn Sb
3 3 6
Direct
0.000 0.000 0.000 Hf
0.333 0.667 0.667 Hf
0.667 0.333 0.333 Hf
0.000 0.000 0.837 Sn
0.333 0.667 0.504 Sn
0.667 0.333 0.171 Sn
0.000 0.000 0.407 Sb
0.000 0.000 0.590 Sb
0.333 0.667 0.073 Sb
0.333 0.667 0.257 Sb
0.667 0.333 0.740 Sb
0.667 0.333 0.924 Sb